{"formula": "CoTcPO", "functional": "PBE+U", "state": "relaxed", "lattice": [[3.5707, 0.0000, 0.0000], [0.0000, 5.6936, 0.0000], [0.0000, 0.0000, 5.7139]], "species": ["Co", "Co", "Tc", "Tc", "P", "P", "O", "O"], "fractional_positions": [[0.0000, 0.1519, 0.0000], [0.0000, 0.8481, 0.5000], [0.5000, 0.2785, 0.4496], [0.5000, 0.7215, 0.9496], [0.5000, 0.3372, 0.8429], [0.5000, 0.6628, 0.3429], [0.0000, 0.1721, 0.3558], [0.0000, 0.8279, 0.8558]], "dft_energy_ev_per_cell": -53.67, "m_tot_mub_per_cell": 3.6}